Computed, not measured: an optimized crystal structure of Ac4Hg2Se at the PBE level of DFT.

Properties
ρ ... 8.2 g/cm3
Formation energy (no corrections) ... -397 kJ/mol of formula units

a = 8.996 Å, b = 8.996 Å, c = 8.996 Å
α = 141.40°, β = 141.40°, γ = 55.74°
Sites, in units of the cell vectors:
Ac1 0.000 0.500 0.500
Ac2 0.198 0.198 0.000
Ac3 0.500 0.000 0.500
Ac4 0.802 0.802 0.000
Hg1 0.396 0.396 0.000
Hg2 0.604 0.604 0.000
Se1 0.000 0.000 0.000


Computed, not measured: an optimized crystal structure of AcHg2Se at the PBE level of DFT.

Properties
ρ ... 8.0 g/cm3
Formation energy (no corrections) ... 28 kJ/mol of formula units
Relative energy among the computed polymorphs ... 1072 meV per atom

a = 9.940 Å, b = 9.940 Å, c = 9.940 Å
α = 24.30°, β = 24.30°, γ = 24.30°
Sites, in units of the cell vectors:
Ac1 0.000 0.000 0.000
Hg1 0.111 0.111 0.111
Hg2 0.889 0.889 0.889
Se1 0.500 0.500 0.500